Density functional theory data (PBE) for crystalline Nd6Si2NiCl3 at its relaxed geometry.

abc: 4.1419 8.6034 9.4338
angles: 102.96 102.68 90.00
With the nearest neighbours (Å) after each atom.
Sites, in units of the cell vectors:
Cl 0.8284 0.1643 0.6568  6 Nd 3.04-3.13
Cl 0.5000 0.5000 0.0000  6 Nd 3.08-3.16
Cl 0.1716 0.8357 0.3432  6 Nd 3.04-3.13
Nd 0.6716 0.5718 0.3431  3 Si 2.89-2.93, 3 Cl 3.07-3.08
Nd 0.0029 0.2236 0.0058  2 Ni 2.82, 1 Si 2.92, 1 Cl 3.13
Nd 0.3284 0.4282 0.6569  3 Si 2.89-2.93, 3 Cl 3.07-3.08
Nd 0.3414 0.9049 0.6827  1 Ni 2.85, 2 Si 2.91, 3 Cl 3.04-3.09
Nd 0.9971 0.7764 0.9942  2 Ni 2.82, 1 Si 2.92, 1 Cl 3.13
Nd 0.6586 0.0951 0.3173  1 Ni 2.85, 2 Si 2.91, 3 Cl 3.04-3.09
Ni 0.5000 0.0000 0.0000  6 Nd 2.82-2.85
Si 0.8348 0.6652 0.6696  6 Nd 2.89-2.93
Si 0.1652 0.3348 0.3304  6 Nd 2.89-2.93

Calculated values
- density (g cm⁻³) = 5.7
- SG = C2/m
- E_form (uncorrected) (eV per atom) = -1.060
- DOS(E_F) (states/eV/cell) = 8.13

Density functional theory data (PBE) for crystalline Nd3NpCl2O6 at its relaxed geometry.

abc: 5.5513 6.9511 7.1358
angles: 119.15 80.67 90.00
With the nearest neighbours (Å) after each atom.
Sites, in units of the cell vectors:
Cl 0.8558 0.2978 0.5956  3 Nd 2.78, 1 O 2.86
Cl 0.1442 0.7022 0.4044  3 Nd 2.78, 1 O 2.86
O 0.2967 0.6914 0.8709  1 Np 2.27, 2 Nd 2.38-2.46
O 0.7033 0.3086 0.1291  1 Np 2.27, 2 Nd 2.38-2.46
O 0.7033 0.8205 0.1291  1 Np 2.27, 2 Nd 2.38-2.46
O 0.6642 0.8350 0.6701  1 Np 2.09, 2 Nd 2.31
O 0.2967 0.1795 0.8709  1 Np 2.27, 2 Nd 2.38-2.46
O 0.3358 0.1650 0.3299  1 Np 2.09, 2 Nd 2.31
Np 0.5000 0.0000 0.0000  6 O 2.09-2.27
Nd 0.0000 0.5000 0.0000  4 O 2.46
Nd 0.5000 0.5000 0.5000  4 O 2.31-2.38
Nd 0.5000 0.0000 0.5000  4 O 2.31-2.38

Calculated values
- density (g cm⁻³) = 5.9
- SG = C2/m
- E_form (uncorrected) (eV per atom) = -2.772
- DOS(E_F) (states/eV/cell) = 6.65

Density functional theory data (PBE) for crystalline NdCl3O3 at its relaxed geometry.

abc: 4.6837 8.6795 18.7236
angles: 90.00 90.00 90.00
With the nearest neighbours (Å) after each atom.
Sites, in units of the cell vectors:
Cl 0.4717 0.9535 0.0895  2 Nd 2.81-2.83
Cl 0.0283 0.5465 0.5895  2 Nd 2.81-2.83
Cl 0.9717 0.0465 0.4105  2 Nd 2.81-2.83
Cl 0.0283 0.9535 0.5895  2 Nd 2.81-2.83
Cl 0.4688 0.7500 0.3769  1 O 2.37
Cl 0.5283 0.4535 0.9105  2 Nd 2.81-2.83
Cl 0.5312 0.2500 0.6231  1 O 2.37
Cl 0.0312 0.7500 0.8769  1 O 2.37
Cl 0.9688 0.2500 0.1231  1 O 2.37
Cl 0.9717 0.4535 0.4105  2 Nd 2.81-2.83
Cl 0.4717 0.5465 0.0895  2 Nd 2.81-2.83
Cl 0.5283 0.0465 0.9105  2 Nd 2.81-2.83
O 0.9676 0.6796 0.2213  1 O 1.22
O 0.0324 0.1796 0.7787  1 O 1.22
O 0.0324 0.3204 0.7787  1 O 1.22
O 0.5288 0.2500 0.4963  1 Cl 2.37, 2 Nd 2.40-2.42
O 0.5324 0.6796 0.7213  1 O 1.22
O 0.5324 0.8204 0.7213  1 O 1.22
O 0.4712 0.7500 0.5037  1 Cl 2.37, 2 Nd 2.40-2.42
O 0.9712 0.2500 0.9963  1 Cl 2.37, 2 Nd 2.40-2.42
O 0.4676 0.1796 0.2787  1 O 1.22
O 0.9676 0.8204 0.2213  1 O 1.22
O 0.4676 0.3204 0.2787  1 O 1.22
O 0.0288 0.7500 0.0037  1 Cl 2.37, 2 Nd 2.40-2.42
Nd 0.0260 0.2500 0.5263  2 O 2.40-2.42
Nd 0.9740 0.7500 0.4737  2 O 2.40-2.42
Nd 0.5260 0.7500 0.9737  2 O 2.40-2.42
Nd 0.4740 0.2500 0.0263  2 O 2.40-2.42

Calculated values
- density (g cm⁻³) = 2.6
- SG = Pnma
- E_form (uncorrected) (eV per atom) = -1.015
- DOS(E_F) (states/eV/cell) = 30.87

Q: Which of these has the highest DOS(E_F)?
A: NdCl3O3

Q: What is the density in the third record?
A: 2.6 g cm⁻³

Copy entry 1 word for word.
Density functional theory data (PBE) for crystalline Nd6Si2NiCl3 at its relaxed geometry.

abc: 4.1419 8.6034 9.4338
angles: 102.96 102.68 90.00
With the nearest neighbours (Å) after each atom.
Sites, in units of the cell vectors:
Cl 0.8284 0.1643 0.6568  6 Nd 3.04-3.13
Cl 0.5000 0.5000 0.0000  6 Nd 3.08-3.16
Cl 0.1716 0.8357 0.3432  6 Nd 3.04-3.13
Nd 0.6716 0.5718 0.3431  3 Si 2.89-2.93, 3 Cl 3.07-3.08
Nd 0.0029 0.2236 0.0058  2 Ni 2.82, 1 Si 2.92, 1 Cl 3.13
Nd 0.3284 0.4282 0.6569  3 Si 2.89-2.93, 3 Cl 3.07-3.08
Nd 0.3414 0.9049 0.6827  1 Ni 2.85, 2 Si 2.91, 3 Cl 3.04-3.09
Nd 0.9971 0.7764 0.9942  2 Ni 2.82, 1 Si 2.92, 1 Cl 3.13
Nd 0.6586 0.0951 0.3173  1 Ni 2.85, 2 Si 2.91, 3 Cl 3.04-3.09
Ni 0.5000 0.0000 0.0000  6 Nd 2.82-2.85
Si 0.8348 0.6652 0.6696  6 Nd 2.89-2.93
Si 0.1652 0.3348 0.3304  6 Nd 2.89-2.93

Calculated values
- density (g cm⁻³) = 5.7
- SG = C2/m
- E_form (uncorrected) (eV per atom) = -1.060
- DOS(E_F) (states/eV/cell) = 8.13

Please write out number 2 again, unchanged.
Density functional theory data (PBE) for crystalline Nd3NpCl2O6 at its relaxed geometry.

abc: 5.5513 6.9511 7.1358
angles: 119.15 80.67 90.00
With the nearest neighbours (Å) after each atom.
Sites, in units of the cell vectors:
Cl 0.8558 0.2978 0.5956  3 Nd 2.78, 1 O 2.86
Cl 0.1442 0.7022 0.4044  3 Nd 2.78, 1 O 2.86
O 0.2967 0.6914 0.8709  1 Np 2.27, 2 Nd 2.38-2.46
O 0.7033 0.3086 0.1291  1 Np 2.27, 2 Nd 2.38-2.46
O 0.7033 0.8205 0.1291  1 Np 2.27, 2 Nd 2.38-2.46
O 0.6642 0.8350 0.6701  1 Np 2.09, 2 Nd 2.31
O 0.2967 0.1795 0.8709  1 Np 2.27, 2 Nd 2.38-2.46
O 0.3358 0.1650 0.3299  1 Np 2.09, 2 Nd 2.31
Np 0.5000 0.0000 0.0000  6 O 2.09-2.27
Nd 0.0000 0.5000 0.0000  4 O 2.46
Nd 0.5000 0.5000 0.5000  4 O 2.31-2.38
Nd 0.5000 0.0000 0.5000  4 O 2.31-2.38

Calculated values
- density (g cm⁻³) = 5.9
- SG = C2/m
- E_form (uncorrected) (eV per atom) = -2.772
- DOS(E_F) (states/eV/cell) = 6.65